A plane-wave DFT calculation with PBE-GGA was carried out for an optimized crystal structure of YSb3Te.

Unit cell a=5.767 b=5.767 c=5.767 alpha=90.00 beta=90.00 gamma=90.00
Fractional positions:
1 Y 0.000 0.000 0.000
2 Sb 0.000 0.000 0.500
3 Sb 0.000 0.500 0.000
4 Sb 0.500 0.000 0.000
5 Te 0.500 0.500 0.500

Results
- Uncorrected energy: -3.94 eV/atom
- Spin magnetization: 0.000 μB per atom